Record 1
VASP calculation (PBE) on crystalline Re2SiBr at its relaxed geometry.

Lattice parameters (Å, degrees): 2.988 2.988 7.721 90.00 90.00 90.00
Space group P4mm (No. 99)
One atom of each set of equivalent atoms:
Re 0.000 0.000 0.000 x1
Re 0.500 0.500 0.212 x1
Si 0.000 0.000 0.406 x1
Br 0.500 0.500 0.757 x1

## Properties
Excess energy over the best structure of this formula in the dataset = 0.1374 eV/atom

***

Record 2
VASP calculation (PBE) on crystalline HfTc2Mo at its relaxed geometry.

Lattice parameters (Å, degrees): 3.181 3.181 6.432 90.00 90.00 90.00
Space group P4/mmm (No. 123)
One atom of each set of equivalent atoms:
Hf 0.000 0.000 0.000 x1
Tc 0.500 0.500 0.262 x2
Mo 0.000 0.000 0.500 x1

## Properties
Excess energy over the best structure of this formula in the dataset = 0.0048 eV/atom

***

Record 3
VASP calculation (PBE) on crystalline PmSm2Tm6 at its relaxed geometry.

Lattice parameters (Å, degrees): 12.767 14.049 6.520 90.00 102.96 90.00
Space group C2/c (No. 15)
One atom of each set of equivalent atoms:
Pm 0.000 0.121 0.250 x4
Sm 0.142 0.473 0.372 x8
Tm 0.035 0.313 0.001 x8
Tm 0.133 0.087 0.818 x8
Tm 0.240 0.298 0.733 x8

## Properties
Final energy = -4.455 eV per atom

***

Record 4
VASP calculation (PBE) on crystalline Al3Sb at its relaxed geometry.

Lattice parameters (Å, degrees): 3.156 10.001 5.066 90.00 90.00 90.00
Space group Imm2 (No. 44)
One atom of each set of equivalent atoms:
Al 0.000 0.000 0.000 x2
Al 0.000 0.261 0.345 x4
Sb 0.000 0.500 0.990 x2

## Properties
Final energy = -3.633 eV per atom

***

Record 5
VASP calculation (PBE) on crystalline KSiSb2 at its relaxed geometry.

Lattice parameters (Å, degrees): 3.164 5.191 6.680 90.00 90.00 90.00
Space group Pmmm (No. 47)
One atom of each set of equivalent atoms:
K 0.000 0.000 0.000 x1
Si 0.500 0.000 0.500 x1
Sb 0.500 0.500 0.284 x2

## Properties
Final energy = -3.594 eV per atom

***

Record 6
VASP calculation (PBE) on crystalline HfBN at its relaxed geometry.

Lattice parameters (Å, degrees): 7.631 3.249 5.996 90.00 115.50 90.00
Space group Cm (No. 8)
One atom of each set of equivalent atoms:
Hf 0.000 0.000 0.000 x2
Hf 0.136 0.000 0.555 x2
B 0.356 0.000 0.367 x2
B 0.461 0.000 0.681 x2
N 0.172 0.500 0.859 x2
N 0.492 0.000 0.256 x2

## Properties
Excess energy over the best structure of this formula in the dataset = 0.2523 eV/atom

***

Record 7
VASP calculation (PBE) on crystalline AlSiPt at its relaxed geometry.

Lattice parameters (Å, degrees): 4.1662 4.1662 3.0897 90.00 90.00 120.00
Space group P-6m2 (No. 187)
One atom of each set of equivalent atoms:
Al 0.0000 0.0000 0.0000 x1
Si 0.3333 0.6667 0.5000 x1
Pt 0.6667 0.3333 0.5000 x1

## Properties
Final energy = -5.386 eV per atom

***

Record 8
VASP calculation (PBE) on crystalline Tl2Sn2P at its relaxed geometry.

Lattice parameters (Å, degrees): 7.220 7.220 5.522 90.00 90.00 90.00
Space group P4/mbm (No. 127)
One atom of each set of equivalent atoms:
Tl 0.173 0.327 0.000 x4
Sn 0.151 0.651 0.500 x4
P 0.000 0.000 0.500 x2

## Properties
Final energy = -3.474 eV per atom

***

- Which formula does entry 4 have?
  Al3Sb

***

- Number 5 is which compound?
  KSiSb2